[1]
A geometry-optimized PmYTmIn structure. Source: the Alexandria database, functional PBE.

Lattice parameters (Å, degrees): 7.735 7.735 7.735 90.00 90.00 90.00
Space group F-43m (No. 216)
One atom of each set of equivalent atoms:
Pm 0.000 0.000 0.000 (multiplicity 4)
Y 0.250 0.250 0.250 (multiplicity 4)
Tm 0.250 0.250 0.750 (multiplicity 4)
In 0.000 0.000 0.500 (multiplicity 4)

relative energy among the computed polymorphs = 168.0 meV/atom
M_tot = 1.47 μB per formula unit
DFT total energy = -4.70 eV/atom
calculated volume = 28.9 Å³/atom
DFT formation energy = -0.39 eV/f.u.


[2]
A geometry-optimized PmTmZnIn structure. Source: the Alexandria database, functional PBE.

Lattice parameters (Å, degrees): 7.408 7.408 7.408 90.00 90.00 90.00
Space group F-43m (No. 216)
One atom of each set of equivalent atoms:
Pm 0.000 0.000 0.000 (multiplicity 4)
Tm 0.000 0.000 0.500 (multiplicity 4)
Zn 0.250 0.250 0.250 (multiplicity 4)
In 0.250 0.250 0.750 (multiplicity 4)

relative energy among the computed polymorphs = 27.9 meV/atom
M_tot = 0.00 μB per formula unit
DFT total energy = -3.69 eV/atom
calculated volume = 25.4 Å³/atom
DFT formation energy = -1.53 eV/f.u.


[3]
A geometry-optimized PmTmZnIn structure. Source: the Alexandria database, functional PBE.

Lattice parameters (Å, degrees): 3.657 3.657 7.508 90.00 90.00 90.00
Space group P4mm (No. 99)
One atom of each set of equivalent atoms:
Pm 0.000 0.000 0.000 (multiplicity 1)
Tm 0.000 0.000 0.460 (multiplicity 1)
Zn 0.500 0.500 0.251 (multiplicity 1)
In 0.500 0.500 0.717 (multiplicity 1)

relative energy among the computed polymorphs = 0.0 meV/atom
M_tot = 0.00 μB per formula unit
DFT total energy = -3.72 eV/atom
calculated volume = 25.1 Å³/atom
DFT formation energy = -1.64 eV/f.u.


[4]
A geometry-optimized Pm2TmZn2In2 structure. Source: the Alexandria database, functional PBE.

Lattice parameters (Å, degrees): 4.7073 4.7073 27.8491 90.00 90.00 120.00
Space group R-3m (No. 166, hexagonal axes)
One atom of each set of equivalent atoms:
Pm 0.0000 0.0000 0.1262 (multiplicity 6)
Tm 0.0000 0.0000 0.0000 (multiplicity 3)
Zn 0.0000 0.0000 0.3904 (multiplicity 6)
In 0.0000 0.0000 0.2677 (multiplicity 6)

M_tot = 0.00 μB per formula unit
DFT total energy = -3.42 eV/atom
calculated volume = 25.4 Å³/atom
DFT formation energy = -1.97 eV/f.u.


[5]
A geometry-optimized PmUIn structure. Source: the Alexandria database, functional PBE.

Lattice parameters (Å, degrees): 16.534 3.635 5.467 90.00 94.59 90.00
Space group C2/m (No. 12)
One atom of each set of equivalent atoms:
Pm 0.089 0.000 0.316 (multiplicity 4)
U 0.243 0.000 0.837 (multiplicity 4)
In 0.080 0.500 0.824 (multiplicity 4)

M_tot = 1.50 μB per formula unit
DFT total energy = -6.34 eV/atom
calculated volume = 27.3 Å³/atom
DFT formation energy = -0.26 eV/f.u.


[6]
A geometry-optimized PmU2In9 structure. Source: the Alexandria database, functional PBE.

Lattice parameters (Å, degrees): 4.652 4.652 13.971 90.00 90.00 90.00
Space group P4/mmm (No. 123)
One atom of each set of equivalent atoms:
Pm 0.000 0.000 0.000 (multiplicity 1)
U 0.000 0.000 0.334 (multiplicity 2)
In 0.000 0.500 0.170 (multiplicity 4)
In 0.000 0.500 0.500 (multiplicity 2)
In 0.500 0.500 0.000 (multiplicity 1)
In 0.500 0.500 0.335 (multiplicity 2)

M_tot = 5.36 μB per formula unit
DFT total energy = -4.49 eV/atom
calculated volume = 25.2 Å³/atom
DFT formation energy = -1.90 eV/f.u.


[7]
A geometry-optimized Pm2UIn structure. Source: the Alexandria database, functional PBE.

Lattice parameters (Å, degrees): 3.2529 3.2529 36.6462 90.00 90.00 120.00
Space group R-3m (No. 166, hexagonal axes)
One atom of each set of equivalent atoms:
Pm 0.0000 0.0000 0.0894 (multiplicity 6)
U 0.0000 0.0000 0.0000 (multiplicity 3)
In 0.0000 0.0000 0.5000 (multiplicity 3)

M_tot = 1.97 μB per formula unit
DFT total energy = -5.54 eV/atom
calculated volume = 28.0 Å³/atom
DFT formation energy = 1.36 eV/f.u.


[8]
A geometry-optimized PmVIn structure. Source: the Alexandria database, functional PBE.

Lattice parameters (Å, degrees): 3.132 3.167 14.267 96.35 90.03 90.00
Space group P-1 (No. 2)
One atom of each set of equivalent atoms:
Pm 0.248 0.310 0.120 (multiplicity 2)
V 0.252 0.113 0.727 (multiplicity 2)
In 0.249 0.452 0.403 (multiplicity 2)

M_tot = 0.00 μB per formula unit
DFT total energy = -5.14 eV/atom
calculated volume = 23.4 Å³/atom
DFT formation energy = 1.18 eV/f.u.